Density functional theory data (PBE+U) for an optimized crystal structure of NaVGe2O6.

Cell and atoms, written as POSCAR:
```
NaVGe2O6
1.0
-4.818 -2.327 1.601
0.770 -6.418 -2.021
1.608 -2.606 6.041
Ge O V Na
4 12 2 2
direct
0.268 0.882 0.692
0.768 0.692 0.882
0.232 0.308 0.118
0.732 0.118 0.308
0.504 0.123 0.157
0.496 0.877 0.843
0.135 0.478 0.310
0.180 0.131 0.593
0.996 0.843 0.877
0.365 0.690 0.522
0.004 0.157 0.123
0.680 0.593 0.131
0.820 0.869 0.407
0.320 0.407 0.869
0.635 0.310 0.478
0.865 0.522 0.690
0.750 0.594 0.406
0.250 0.406 0.594
0.250 0.806 0.194
0.750 0.194 0.806
```

The calculation puts the energy above the most stable polymorph in this dataset at 0.000 eV/atom. As for the size of the total moment: 4.000 μB per cell. For the total energy, the calculation gives -6.61 eV per atom.

---

Density functional theory data (PBE+U) for an optimized crystal structure of NaVGeO5.

Cell and atoms, written as POSCAR:
```
NaVGeO5
1.0
-1.949 2.454 4.670
-3.912 -3.751 -1.502
5.189 -3.927 2.298
O V Na Ge
10 2 2 2
direct
0.239 0.363 0.584
0.893 0.298 0.107
0.363 0.239 0.084
0.761 0.637 0.416
0.932 0.068 0.750
0.637 0.761 0.916
0.107 0.702 0.893
0.702 0.107 0.393
0.298 0.893 0.607
0.068 0.932 0.250
0.678 0.322 0.250
0.322 0.678 0.750
0.676 0.324 0.750
0.324 0.676 0.250
0.000 0.000 0.500
0.000 0.000 0.000
```

As for the size of the total moment: 0.000 μB per cell. For the total energy, the calculation gives -6.57 eV per atom.

---

Density functional theory data (PBE+U) for an optimized crystal structure of Na2GeWO6.

Cell and atoms, written as POSCAR:
```
Na2GeWO6
1.0
3.875 0.000 0.000
0.000 5.419 0.000
0.000 0.000 5.419
Na O W Ge
2 6 1 1
direct
0.144 0.000 0.500
0.144 0.500 0.000
0.145 0.500 0.500
0.645 0.750 0.250
0.645 0.250 0.750
0.145 0.000 0.000
0.645 0.750 0.750
0.645 0.250 0.250
0.645 0.500 0.500
0.645 0.000 0.000
```

As for the size of the total moment: 0.000 μB per cell. For the total energy, the calculation gives -6.23 eV per atom.

---

Density functional theory data (PBE+U) for an optimized crystal structure of NaGeWO6.

Cell and atoms, written as POSCAR:
```
NaGeWO6
1.0
-0.967 2.943 -3.666
-4.420 0.706 1.733
3.071 7.140 4.923
Na W O Ge
2 2 12 2
direct
0.000 0.000 0.003
0.500 0.500 0.503
0.500 0.500 0.168
0.000 0.000 0.668
0.174 0.826 0.498
0.326 0.326 0.998
0.722 0.722 0.301
0.278 0.278 0.301
0.778 0.222 0.801
0.785 0.215 0.197
0.215 0.785 0.197
0.285 0.285 0.697
0.674 0.674 0.998
0.826 0.174 0.498
0.222 0.778 0.801
0.715 0.715 0.697
0.500 0.500 0.836
0.000 0.000 0.336
```

As for the size of the total moment: 1.868 μB per cell. For the total energy, the calculation gives -6.35 eV per atom.

---

Density functional theory data (PBE+U) for an optimized crystal structure of NaGeWO5.

Cell and atoms, written as POSCAR:
```
NaGeWO5
1.0
5.705 0.103 -0.067
-1.567 5.487 -0.067
-1.801 -2.432 6.865
W O Na Ge
2 10 2 2
direct
0.000 0.000 0.000
0.000 0.000 0.500
0.246 0.364 0.598
0.890 0.304 0.109
0.696 0.110 0.391
0.754 0.636 0.402
0.304 0.890 0.609
0.062 0.938 0.250
0.938 0.062 0.750
0.364 0.246 0.098
0.636 0.754 0.902
0.110 0.696 0.891
0.673 0.327 0.750
0.327 0.673 0.250
0.316 0.684 0.750
0.684 0.316 0.250
```

As for the size of the total moment: 2.000 μB per cell. For the total energy, the calculation gives -6.66 eV per atom.

---

The records above give, respectively, calculated volume values of 12.2 12.1 11.4 11.8 13.4 Å³ per atom.